Record 1
{
  "formula": "CsTeAs",
  "functional": "PBE",
  "state": "relaxed",
  "lattice_angstrom": [[4.702, 0.000, 0.000], [1.940, 5.073, 0.000], [0.046, 1.016, 11.015]],
  "species": ["Cs", "Cs", "Te", "Te", "As", "As"],
  "frac_coords": [[0.000, 0.000, 0.000], [0.037, 0.905, 0.474], [0.391, 0.231, 0.713], [0.644, 0.675, 0.761], [0.292, 0.394, 0.237], [0.742, 0.512, 0.237]],
  "e_form_raw_ev_per_atom": -0.362,
  "rho_g_cm3": 4.240,
  "vol_a3_per_cell": 262.75,
  "sg": "P1"
}



Record 2
{
  "formula": "Cs4Te4As",
  "functional": "PBE",
  "state": "relaxed",
  "lattice_angstrom": [[-4.471, 4.471, 7.541], [4.471, -4.471, 7.541], [4.471, 4.471, -7.541]],
  "species": ["Cs", "Cs", "Cs", "Cs", "Te", "Te", "Te", "Te", "As"],
  "frac_coords": [[0.000, 0.500, 0.500], [0.195, 0.195, 0.000], [0.500, 0.000, 0.500], [0.805, 0.805, 0.000], [0.219, 0.219, 0.654], [0.436, 0.781, 0.000], [0.564, 0.564, 0.346], [0.781, 0.436, 0.000], [0.500, 0.500, 0.000]],
  "relative_energy_ev_per_fu": 0.00,
  "e_form_raw_ev_per_atom": -0.664,
  "rho_g_cm3": 3.076,
  "vol_a3_per_cell": 602.98,
  "sg": "I-42m"
}



Record 3
{
  "formula": "CsTe2As",
  "functional": "PBE",
  "state": "relaxed",
  "lattice_angstrom": [[8.052, 0.000, 0.000], [0.000, 10.736, 0.000], [-1.713, 0.000, 7.678]],
  "species": ["Cs", "Cs", "Cs", "Cs", "Te", "Te", "Te", "Te", "Te", "Te", "Te", "Te", "As", "As", "As", "As"],
  "frac_coords": [[0.184, 0.062, 0.277], [0.184, 0.438, 0.777], [0.816, 0.562, 0.223], [0.816, 0.938, 0.723], [0.193, 0.744, 0.044], [0.193, 0.756, 0.544], [0.329, 0.071, 0.806], [0.329, 0.429, 0.306], [0.671, 0.571, 0.694], [0.671, 0.929, 0.194], [0.807, 0.244, 0.456], [0.807, 0.256, 0.956], [0.413, 0.664, 0.372], [0.413, 0.836, 0.872], [0.587, 0.164, 0.128], [0.587, 0.336, 0.628]],
  "e_form_raw_ev_per_atom": -0.464,
  "rho_g_cm3": 4.634,
  "vol_a3_per_cell": 663.67,
  "sg": "P2_1/c"
}



Record 4
{
  "formula": "Cs2TeAs",
  "functional": "PBE",
  "state": "relaxed",
  "lattice_angstrom": [[-6.437, 6.437, 2.841], [6.437, -6.437, 2.841], [6.437, 6.437, -2.841]],
  "species": ["Cs", "Cs", "Cs", "Cs", "Te", "Te", "As", "As"],
  "frac_coords": [[0.375, 0.215, 0.340], [0.785, 0.125, 0.160], [0.875, 0.035, 0.660], [0.965, 0.625, 0.840], [0.250, 0.750, 0.500], [0.500, 0.500, 0.000], [0.000, 0.000, 0.000], [0.750, 0.250, 0.500]],
  "relative_energy_ev_per_fu": 1.01,
  "e_form_raw_ev_per_atom": -0.361,
  "rho_g_cm3": 3.302,
  "vol_a3_per_cell": 471.00,
  "sg": "I-42d"
}



Record 5
{
  "formula": "Cs5Te2As4",
  "functional": "PBE",
  "state": "relaxed",
  "lattice_angstrom": [[4.826, -5.687, 0.000], [4.826, 5.687, 0.000], [-4.776, 0.000, 9.086]],
  "species": ["Cs", "Cs", "Cs", "Cs", "Cs", "Te", "Te", "As", "As", "As", "As"],
  "frac_coords": [[0.000, 0.000, 0.000], [0.008, 0.545, 0.290], [0.455, 0.992, 0.710], [0.545, 0.008, 0.290], [0.992, 0.455, 0.710], [0.453, 0.453, 0.170], [0.547, 0.547, 0.830], [0.080, 0.080, 0.435], [0.385, 0.385, 0.538], [0.615, 0.615, 0.462], [0.920, 0.920, 0.565]],
  "e_form_raw_ev_per_atom": -0.504,
  "rho_g_cm3": 4.060,
  "vol_a3_per_cell": 498.71,
  "sg": "C2/m"
}



Record 6
{
  "formula": "Cs3TeAs",
  "functional": "PBE",
  "state": "relaxed",
  "lattice_angstrom": [[5.300, 0.000, 0.000], [0.241, 9.986, 0.000], [0.103, 4.415, 9.390]],
  "species": ["Cs", "Cs", "Cs", "Cs", "Cs", "Cs", "Te", "Te", "As", "As"],
  "frac_coords": [[0.233, 0.141, 0.073], [0.247, 0.822, 0.585], [0.256, 0.571, 0.298], [0.744, 0.429, 0.702], [0.753, 0.178, 0.415], [0.767, 0.859, 0.927], [0.254, 0.164, 0.677], [0.746, 0.836, 0.323], [0.305, 0.558, 0.949], [0.695, 0.442, 0.051]],
  "relative_energy_ev_per_fu": 0.00,
  "e_form_raw_ev_per_atom": -0.726,
  "rho_g_cm3": 4.018,
  "vol_a3_per_cell": 497.01,
  "sg": "P-1"
}



Record 7
{
  "formula": "Cs3Te4As2",
  "functional": "PBE",
  "state": "relaxed",
  "lattice_angstrom": [[8.963, -5.088, 0.000], [8.963, 5.088, 0.000], [-0.016, 0.000, 9.600]],
  "species": ["Cs", "Cs", "Cs", "Cs", "Cs", "Cs", "Te", "Te", "Te", "Te", "Te", "Te", "Te", "Te", "As", "As", "As", "As"],
  "frac_coords": [[0.030, 0.970, 0.750], [0.231, 0.500, 0.416], [0.500, 0.231, 0.916], [0.500, 0.769, 0.084], [0.769, 0.500, 0.584], [0.970, 0.030, 0.250], [0.197, 0.226, 0.678], [0.200, 0.645, 0.026], [0.226, 0.197, 0.178], [0.355, 0.800, 0.474], [0.645, 0.200, 0.526], [0.774, 0.803, 0.822], [0.800, 0.355, 0.974], [0.803, 0.774, 0.322], [0.049, 0.359, 0.970], [0.359, 0.049, 0.470], [0.641, 0.951, 0.530], [0.951, 0.641, 0.030]],
  "relative_energy_ev_per_fu": 0.00,
  "e_form_raw_ev_per_atom": -0.593,
  "rho_g_cm3": 4.017,
  "vol_a3_per_cell": 875.53,
  "sg": "C2/c"
}



Record 8
{
  "formula": "Cs3Te5As2",
  "functional": "PBE",
  "state": "relaxed",
  "lattice_angstrom": [[-4.837, 10.458, 4.476], [4.837, -10.458, 4.476], [4.837, 10.458, -4.476]],
  "species": ["Cs", "Cs", "Cs", "Cs", "Cs", "Cs", "Te", "Te", "Te", "Te", "Te", "Te", "Te", "Te", "Te", "Te", "As", "As", "As", "As"],
  "frac_coords": [[0.160, 0.669, 0.829], [0.250, 0.250, 0.000], [0.340, 0.169, 0.509], [0.660, 0.831, 0.491], [0.750, 0.750, 0.000], [0.840, 0.331, 0.171], [0.047, 0.250, 0.797], [0.073, 0.313, 0.386], [0.250, 0.750, 0.500], [0.427, 0.813, 0.240], [0.453, 0.250, 0.203], [0.547, 0.750, 0.797], [0.573, 0.187, 0.760], [0.750, 0.250, 0.500], [0.927, 0.687, 0.614], [0.953, 0.750, 0.203], [0.134, 0.057, 0.191], [0.366, 0.557, 0.923], [0.634, 0.443, 0.077], [0.866, 0.943, 0.809]],
  "e_form_raw_ev_per_atom": -0.409,
  "rho_g_cm3": 4.351,
  "vol_a3_per_cell": 905.74,
  "sg": "Ibam"
}